Record 1
DFT (PBE-GGA) results for a relaxed structure of GdTmSc.

Cell lengths 3.4719, 3.4719, 14.3768 Å; angles 90.00, 90.00, 90.00 degrees
With the nearest neighbours (Å) after each atom.
Space group I4mm (No. 107)
Unique sites:
1 Gd 0.0000 0.0000 0.0000 [2 per cell]  4 Sc 3.40, 4 Gd 3.47, 4 Tm 3.55
2 Tm 0.0000 0.0000 0.6779 [2 per cell]  4 Sc 3.35, 4 Tm 3.47, 4 Gd 3.55
3 Sc 0.0000 0.0000 0.3362 [2 per cell]  4 Tm 3.35, 4 Gd 3.40, 4 Sc 3.47

Calculated values
The value obtained for the formation energy is 48 meV/atom. For the energy above the most stable polymorph in this dataset, the calculation gives 0.0 meV per atom. Its magnetic moment is 7.265 μB/f.u. For the density of states at the Fermi level, the calculation gives 4.83 states/eV/f.u. Its raw total energy is -8.25 eV/atom.



Record 2
DFT (PBE-GGA) results for a relaxed structure of GdTmSc.

Cell lengths 3.4535, 3.4535, 8.3610 Å; angles 90.00, 90.00, 120.00 degrees
With the nearest neighbours (Å) after each atom.
Space group P3m1 (No. 156)
Unique sites:
1 Gd 0.0000 0.0000 0.0000 [1 per cell]  3 Sc 3.39, 6 Gd 3.45, 3 Tm 3.55
2 Tm 0.6667 0.3333 0.3518 [1 per cell]  3 Sc 3.34, 6 Tm 3.45, 3 Gd 3.55
3 Sc 0.3333 0.6667 0.6716 [1 per cell]  3 Tm 3.34, 3 Gd 3.39, 6 Sc 3.45

Calculated values
The value obtained for the formation energy is 51 meV/atom. For the energy above the most stable polymorph in this dataset, the calculation gives 3.1 meV per atom. Its magnetic moment is 7.186 μB/f.u. For the density of states at the Fermi level, the calculation gives 4.44 states/eV/f.u. Its raw total energy is -8.24 eV/atom.



Record 3
DFT (PBE-GGA) results for a relaxed structure of GdTmScZn.

Cell lengths 7.3557, 7.3557, 7.3557 Å; angles 90.00, 90.00, 90.00 degrees
With the nearest neighbours (Å) after each atom.
Space group F-43m (No. 216)
Unique sites:
1 Gd 0.0000 0.0000 0.0000 [4 per cell]  4 Sc 3.19, 4 Zn 3.19
2 Tm 0.0000 0.0000 0.5000 [4 per cell]  4 Sc 3.19, 4 Zn 3.19
3 Sc 0.2500 0.2500 0.7500 [4 per cell]  4 Gd 3.19, 4 Tm 3.19
4 Zn 0.2500 0.2500 0.2500 [4 per cell]  4 Gd 3.19, 4 Tm 3.19

Calculated values
The value obtained for the formation energy is -6 meV/atom. Its magnetic moment is 7.479 μB/f.u. For the density of states at the Fermi level, the calculation gives 4.53 states/eV/f.u. Its raw total energy is -6.55 eV/atom.



Record 4
DFT (PBE-GGA) results for a relaxed structure of GdScV4.

Cell lengths 7.5073, 7.5073, 7.5073 Å; angles 90.00, 90.00, 90.00 degrees
With the nearest neighbours (Å) after each atom.
Space group F-43m (No. 216)
Unique sites:
1 Gd 0.0000 0.0000 0.0000 [4 per cell]  12 V 3.11, 4 Sc 3.25
2 Sc 0.2500 0.2500 0.2500 [4 per cell]  12 V 3.11, 4 Gd 3.25
3 V 0.1245 0.1245 0.6245 [16 per cell]  6 V 2.64-2.67

Calculated values
The value obtained for the formation energy is 309 meV/atom. Its magnetic moment is 8.812 μB/f.u. For the density of states at the Fermi level, the calculation gives 14.37 states/eV/f.u. Its raw total energy is -9.17 eV/atom.



Record 5
DFT (PBE-GGA) results for a relaxed structure of GdY2Sc.

Cell lengths 7.8876, 7.8876, 7.8876 Å; angles 90.00, 90.00, 90.00 degrees
With the nearest neighbours (Å) after each atom.
Space group Fm-3m (No. 225)
Unique sites:
1 Gd 0.0000 0.0000 0.0000 [4 per cell]  8 Y 3.42
2 Y 0.2500 0.2500 0.2500 [8 per cell]  4 Sc 3.42, 4 Gd 3.42
3 Sc 0.0000 0.0000 0.5000 [4 per cell]  8 Y 3.42

Calculated values
The value obtained for the formation energy is 130 meV/atom. For the energy above the most stable polymorph in this dataset, the calculation gives 82.3 meV per atom. Its magnetic moment is 8.732 μB/f.u. For the density of states at the Fermi level, the calculation gives 9.31 states/eV/f.u. Its raw total energy is -8.20 eV/atom.



Record 6
DFT (PBE-GGA) results for a relaxed structure of GdY2Sc.

Cell lengths 3.5117, 3.5117, 9.8383 Å; angles 90.00, 90.00, 90.00 degrees
With the nearest neighbours (Å) after each atom.
Space group P4/mmm (No. 123)
Unique sites:
1 Gd 0.0000 0.0000 0.0000 [1 per cell]  4 Gd 3.51, 8 Y 3.59
2 Y 0.5000 0.5000 0.2632 [2 per cell]  4 Sc 3.40, 4 Y 3.51, 4 Gd 3.59
3 Sc 0.0000 0.0000 0.5000 [1 per cell]  8 Y 3.40, 4 Sc 3.51

Calculated values
The value obtained for the formation energy is 49 meV/atom. For the energy above the most stable polymorph in this dataset, the calculation gives 0.7 meV per atom. Its magnetic moment is 7.293 μB/f.u. For the density of states at the Fermi level, the calculation gives 7.13 states/eV/f.u. Its raw total energy is -8.29 eV/atom.



Record 7
DFT (PBE-GGA) results for a relaxed structure of Gd2YSc.

Cell lengths 3.4330, 3.4330, 36.2587 Å; angles 90.00, 90.00, 120.00 degrees
With the nearest neighbours (Å) after each atom.
Space group R-3m (No. 166, hexagonal axes)
Unique sites:
1 Gd 0.0000 0.0000 0.0917 [6 per cell]  1 Y 3.32, 3 Sc 3.36, 6 Gd 3.43
2 Y 0.0000 0.0000 0.0000 [3 per cell]  2 Gd 3.32, 6 Y 3.43
3 Sc 0.0000 0.0000 0.5000 [3 per cell]  6 Gd 3.36, 6 Sc 3.43

Calculated values
The value obtained for the formation energy is 186 meV/atom. For the energy above the most stable polymorph in this dataset, the calculation gives 134.8 meV per atom. Its magnetic moment is 15.362 μB/f.u. For the density of states at the Fermi level, the calculation gives 6.47 states/eV/f.u. Its raw total energy is -10.05 eV/atom.



Record 8
DFT (PBE-GGA) results for a relaxed structure of Gd2YSc.

Cell lengths 4.9608, 4.9608, 4.9072 Å; angles 90.00, 90.00, 90.00 degrees
With the nearest neighbours (Å) after each atom.
Space group P4/mmm (No. 123)
Unique sites:
1 Gd 0.0000 0.5000 0.0000 [2 per cell]  4 Sc 3.49, 4 Y 3.49, 4 Gd 3.51
2 Y 0.0000 0.0000 0.5000 [1 per cell]  8 Gd 3.49, 4 Sc 3.51
3 Sc 0.5000 0.5000 0.5000 [1 per cell]  8 Gd 3.49, 4 Y 3.51

Calculated values
The value obtained for the formation energy is 53 meV/atom. For the energy above the most stable polymorph in this dataset, the calculation gives 2.3 meV per atom. Its magnetic moment is 14.534 μB/f.u. For the density of states at the Fermi level, the calculation gives 7.80 states/eV/f.u. Its raw total energy is -10.19 eV/atom.



- Which value of raw total energy does entry 6 give?
  -8.29 eV/atom



Please write out number 7 again, unchanged.
DFT (PBE-GGA) results for a relaxed structure of Gd2YSc.

Cell lengths 3.4330, 3.4330, 36.2587 Å; angles 90.00, 90.00, 120.00 degrees
With the nearest neighbours (Å) after each atom.
Space group R-3m (No. 166, hexagonal axes)
Unique sites:
1 Gd 0.0000 0.0000 0.0917 [6 per cell]  1 Y 3.32, 3 Sc 3.36, 6 Gd 3.43
2 Y 0.0000 0.0000 0.0000 [3 per cell]  2 Gd 3.32, 6 Y 3.43
3 Sc 0.0000 0.0000 0.5000 [3 per cell]  6 Gd 3.36, 6 Sc 3.43

Calculated values
The value obtained for the formation energy is 186 meV/atom. For the energy above the most stable polymorph in this dataset, the calculation gives 134.8 meV per atom. Its magnetic moment is 15.362 μB/f.u. For the density of states at the Fermi level, the calculation gives 6.47 states/eV/f.u. Its raw total energy is -10.05 eV/atom.



- Number 2 is which compound?
  GdTmSc